Record 1
Entry from the Alexandria database: a relaxed CdB3Pt crystal (GGA-PBEsol).

a = 4.1842 Å, b = 4.1842 Å, c = 4.1842 Å
α = 90.00°, β = 90.00°, γ = 90.00°
Fractional coordinates of all 5 atoms:
Cd (0.0000, 0.0000, 0.0000)
B (0.0000, 0.0000, 0.5000)
B (0.0000, 0.5000, 0.0000)
B (0.5000, 0.0000, 0.0000)
Pt (0.5000, 0.5000, 0.5000)

## Properties
DFT total energy (eV/atom): -3.39
Crystal system: cubic

=====

Record 2
Entry from the Alexandria database: a relaxed LaTaCu crystal (GGA-PBEsol).

a = 4.5406 Å, b = 4.5406 Å, c = 4.5406 Å
α = 60.00°, β = 60.00°, γ = 60.00°
Fractional coordinates of all 3 atoms:
La (0.0000, 0.0000, 0.0000)
Ta (0.7500, 0.7500, 0.7500)
Cu (0.5000, 0.5000, 0.5000)

## Properties
DFT total energy (eV/atom): -6.39
Crystal system: cubic
Energy relative to the lowest polymorph listed for this composition (eV per atom): 0.497

=====

Record 3
Entry from the Alexandria database: a relaxed BiRhSCl2 crystal (GGA-PBEsol).

a = 4.6377 Å, b = 4.6377 Å, c = 4.7088 Å
α = 90.00°, β = 90.00°, γ = 90.00°
Fractional coordinates of all 5 atoms:
Bi (0.0000, 0.0000, 0.0000)
Rh (0.5000, 0.5000, 0.5000)
S (0.5000, 0.5000, 0.0000)
Cl (0.0000, 0.5000, 0.5000)
Cl (0.5000, 0.0000, 0.5000)

## Properties
DFT total energy (eV/atom): -4.31
Uncorrected formation energy (eV/atom): -0.147
Crystal system: tetragonal

=====

Record 4
Entry from the Alexandria database: a relaxed LaTcO2 crystal (GGA-PBEsol).

a = 6.8579 Å, b = 6.8579 Å, c = 6.8579 Å
α = 142.21°, β = 142.21°, γ = 54.51°
Fractional coordinates of all 8 atoms:
La (0.0000, 0.0000, 0.0000)
La (0.7500, 0.2500, 0.5000)
Tc (0.2500, 0.7500, 0.5000)
Tc (0.5000, 0.5000, 0.0000)
O (0.2266, 0.6250, 0.1016)
O (0.3750, 0.4766, 0.6016)
O (0.5234, 0.1250, 0.8984)
O (0.8750, 0.7734, 0.3984)

## Properties
DFT total energy (eV/atom): -8.34
Uncorrected formation energy (eV/atom): -1.560
Crystal system: tetragonal

=====

Record 5
Entry from the Alexandria database: a relaxed SrAlH5 crystal (GGA-PBEsol).

a = 4.3251 Å, b = 5.0948 Å, c = 12.4094 Å
α = 90.00°, β = 90.00°, γ = 90.00°
Fractional coordinates of all 28 atoms:
Sr (0.2085, 0.1420, 0.3407)
Sr (0.2915, 0.8580, 0.8407)
Sr (0.7085, 0.3580, 0.6593)
Sr (0.7915, 0.6420, 0.1593)
Al (0.1769, 0.1283, 0.0838)
Al (0.3231, 0.8717, 0.5838)
Al (0.6769, 0.3717, 0.9162)
Al (0.8231, 0.6283, 0.4162)
H (0.0031, 0.8791, 0.4965)
H (0.0090, 0.8906, 0.0081)
H (0.1435, 0.6356, 0.3301)
H (0.1825, 0.1046, 0.6721)
H (0.1922, 0.6163, 0.6623)
H (0.3078, 0.3837, 0.1623)
H (0.3175, 0.8954, 0.1721)
H (0.3565, 0.3644, 0.8301)
H (0.4910, 0.1094, 0.5081)
H (0.4969, 0.1209, 0.9965)
H (0.5031, 0.6209, 0.5035)
H (0.5090, 0.6094, 0.9919)
H (0.6435, 0.8644, 0.6699)
H (0.6825, 0.3954, 0.3279)
H (0.6922, 0.8837, 0.3377)
H (0.8078, 0.1163, 0.8377)
H (0.8175, 0.6046, 0.8279)
H (0.8565, 0.1356, 0.1699)
H (0.9910, 0.3906, 0.4919)
H (0.9969, 0.3791, 0.0035)

## Properties
DFT total energy (eV/atom): -3.54
Crystal system: orthorhombic

=====

Record 6
Entry from the Alexandria database: a relaxed CdTc2Cl crystal (GGA-PBEsol).

a = 4.4829 Å, b = 4.4829 Å, c = 4.4829 Å
α = 60.00°, β = 60.00°, γ = 60.00°
Fractional coordinates of all 4 atoms:
Cd (0.0000, 0.0000, 0.0000)
Tc (0.2500, 0.2500, 0.2500)
Tc (0.5000, 0.5000, 0.5000)
Cl (0.7500, 0.7500, 0.7500)

## Properties
DFT total energy (eV/atom): -5.53
Uncorrected formation energy (eV/atom): 0.908
Crystal system: cubic

=====

Record 7
Entry from the Alexandria database: a relaxed SrRe2Ir crystal (GGA-PBEsol).

a = 2.8515 Å, b = 4.7644 Å, c = 5.0316 Å
α = 90.00°, β = 90.00°, γ = 90.00°
Fractional coordinates of all 4 atoms:
Sr (0.0000, 0.0000, 0.0000)
Re (0.0000, 0.5000, 0.5000)
Re (0.5000, 0.0000, 0.5000)
Ir (0.5000, 0.5000, 0.0000)

## Properties
DFT total energy (eV/atom): -8.64
Crystal system: orthorhombic
Energy relative to the lowest polymorph listed for this composition (eV per atom): 0.002

=====

Record 8
Entry from the Alexandria database: a relaxed Ca3Si2Ni3 crystal (GGA-PBEsol).

a = 15.6364 Å, b = 3.8947 Å, c = 11.4016 Å
α = 90.00°, β = 90.00°, γ = 90.00°
Fractional coordinates of all 32 atoms:
Ca (0.1410, 0.2500, 0.1101)
Ca (0.1449, 0.2500, 0.4433)
Ca (0.1616, 0.2500, 0.7770)
Ca (0.3384, 0.7500, 0.2769)
Ca (0.3551, 0.7500, 0.9433)
Ca (0.3590, 0.7500, 0.6101)
Ca (0.6410, 0.2500, 0.3899)
Ca (0.6449, 0.2500, 0.0567)
Ca (0.6616, 0.2500, 0.7230)
Ca (0.8384, 0.7500, 0.2230)
Ca (0.8551, 0.7500, 0.5567)
Ca (0.8590, 0.7500, 0.8899)
Si (0.0025, 0.7500, 0.3509)
Si (0.0501, 0.7500, 0.9443)
Si (0.4499, 0.2500, 0.4443)
Si (0.4975, 0.2500, 0.8509)
Si (0.5025, 0.7500, 0.1491)
Si (0.5501, 0.7500, 0.5557)
Si (0.9499, 0.2500, 0.0557)
Si (0.9975, 0.2500, 0.6491)
Ni (0.0040, 0.7500, 0.1338)
Ni (0.0194, 0.7500, 0.7476)
Ni (0.0382, 0.7500, 0.5443)
Ni (0.4618, 0.2500, 0.0443)
Ni (0.4806, 0.2500, 0.2476)
Ni (0.4960, 0.2500, 0.6338)
Ni (0.5040, 0.7500, 0.3662)
Ni (0.5194, 0.7500, 0.7524)
Ni (0.5382, 0.7500, 0.9557)
Ni (0.9618, 0.2500, 0.4557)
Ni (0.9806, 0.2500, 0.2524)
Ni (0.9960, 0.2500, 0.8662)

## Properties
DFT total energy (eV/atom): -4.99
Uncorrected formation energy (eV/atom): -0.440
Crystal system: orthorhombic

=====

Record 9
Entry from the Alexandria database: a relaxed FeReBr2 crystal (GGA-PBEsol).

a = 4.4977 Å, b = 4.4977 Å, c = 3.1178 Å
α = 90.00°, β = 90.00°, γ = 90.00°
Fractional coordinates of all 4 atoms:
Fe (0.0000, 0.0000, 0.0000)
Re (0.5000, 0.5000, 0.0000)
Br (0.0000, 0.5000, 0.5000)
Br (0.5000, 0.0000, 0.5000)

## Properties
DFT total energy (eV/atom): -5.32
Uncorrected formation energy (eV/atom): 1.192
Crystal system: tetragonal
Energy relative to the lowest polymorph listed for this composition (eV per atom): 0.728

=====

Record 10
Entry from the Alexandria database: a relaxed Cd3Ni crystal (GGA-PBEsol).

a = 4.0921 Å, b = 4.0921 Å, c = 4.0921 Å
α = 90.00°, β = 90.00°, γ = 90.00°
Fractional coordinates of all 4 atoms:
Cd (0.0000, 0.0000, 0.5000)
Cd (0.0000, 0.5000, 0.0000)
Cd (0.5000, 0.0000, 0.0000)
Ni (0.5000, 0.5000, 0.5000)

## Properties
DFT total energy (eV/atom): -2.37
Crystal system: cubic

=====

Record 11
Entry from the Alexandria database: a relaxed Al3Ni2 crystal (GGA-PBEsol).

a = 3.9933 Å, b = 3.9933 Å, c = 4.8734 Å
α = 90.00°, β = 90.00°, γ = 120.00°
Fractional coordinates of all 5 atoms:
Al (0.0000, 0.0000, 0.0000)
Al (0.3333, 0.6667, 0.6477)
Al (0.6667, 0.3333, 0.3523)
Ni (0.3333, 0.6667, 0.1460)
Ni (0.6667, 0.3333, 0.8540)

## Properties
DFT total energy (eV/atom): -5.54
Crystal system: trigonal

=====

Record 12
Entry from the Alexandria database: a relaxed MnPtOF2 crystal (GGA-PBEsol).

a = 3.8272 Å, b = 3.8272 Å, c = 3.9730 Å
α = 90.00°, β = 90.00°, γ = 90.00°
Fractional coordinates of all 5 atoms:
Mn (0.0000, 0.0000, 0.0000)
Pt (0.5000, 0.5000, 0.5000)
O (0.0000, 0.0000, 0.5000)
F (0.0000, 0.5000, 0.0000)
F (0.5000, 0.0000, 0.0000)

## Properties
DFT total energy (eV/atom): -5.85
Uncorrected formation energy (eV/atom): -0.683
Crystal system: tetragonal
Energy relative to the lowest polymorph listed for this composition (eV per atom): 0.000

=====

Record 13
Entry from the Alexandria database: a relaxed Ti2Te3 crystal (GGA-PBEsol).

a = 7.3266 Å, b = 7.3266 Å, c = 7.3266 Å
α = 53.82°, β = 53.82°, γ = 53.82°
Fractional coordinates of all 10 atoms:
Ti (0.0000, 0.0000, 0.0000)
Ti (0.1602, 0.1602, 0.1602)
Ti (0.5000, 0.5000, 0.5000)
Ti (0.8398, 0.8398, 0.8398)
Te (0.0751, 0.4271, 0.7317)
Te (0.2683, 0.9249, 0.5729)
Te (0.4271, 0.7317, 0.0751)
Te (0.5729, 0.2683, 0.9249)
Te (0.7317, 0.0751, 0.4271)
Te (0.9249, 0.5729, 0.2683)

## Properties
DFT total energy (eV/atom): -6.20
Uncorrected formation energy (eV/atom): -0.755
Crystal system: trigonal

=====

Record 14
Entry from the Alexandria database: a relaxed BeCdCuPt2 crystal (GGA-PBEsol).

a = 4.1339 Å, b = 4.1339 Å, c = 4.4202 Å
α = 90.00°, β = 90.00°, γ = 90.00°
Fractional coordinates of all 5 atoms:
Be (0.0000, 0.0000, 0.0000)
Cd (0.0000, 0.0000, 0.5000)
Cu (0.5000, 0.5000, 0.5000)
Pt (0.0000, 0.5000, 0.0000)
Pt (0.5000, 0.0000, 0.0000)

## Properties
DFT total energy (eV/atom): -4.51
Crystal system: tetragonal

=====

Record 15
Entry from the Alexandria database: a relaxed ZrTeP2 crystal (GGA-PBEsol).

a = 7.6155 Å, b = 7.6155 Å, c = 7.6155 Å
α = 26.93°, β = 26.93°, γ = 26.93°
Fractional coordinates of all 4 atoms:
Zr (0.0000, 0.0000, 0.0000)
Te (0.5000, 0.5000, 0.5000)
P (0.2577, 0.2577, 0.2577)
P (0.7423, 0.7423, 0.7423)

## Properties
DFT total energy (eV/atom): -6.23
Uncorrected formation energy (eV/atom): -0.179
Crystal system: trigonal
Energy relative to the lowest polymorph listed for this composition (eV per atom): 0.000

=====

Record 16
Entry from the Alexandria database: a relaxed Ni2RhCl crystal (GGA-PBEsol).

a = 2.7538 Å, b = 2.7538 Å, c = 7.9146 Å
α = 90.00°, β = 90.00°, γ = 120.66°
Fractional coordinates of all 4 atoms:
Ni (0.0000, 0.0000, 0.2396)
Ni (0.0000, 0.0000, 0.7604)
Rh (0.5000, 0.5000, 0.5000)
Cl (0.5000, 0.5000, 0.0000)

## Properties
DFT total energy (eV/atom): -5.23
Uncorrected formation energy (eV/atom): 0.387
Crystal system: orthorhombic
Energy relative to the lowest polymorph listed for this composition (eV per atom): 0.000

=====

Record 17
Entry from the Alexandria database: a relaxed Mg2BeRu2 crystal (GGA-PBEsol).

a = 7.8313 Å, b = 7.8313 Å, c = 7.8313 Å
α = 154.85°, β = 154.85°, γ = 35.87°
Fractional coordinates of all 5 atoms:
Mg (0.0997, 0.0997, 0.0000)
Mg (0.9003, 0.9003, 0.0000)
Be (0.5000, 0.5000, 0.0000)
Ru (0.2500, 0.7500, 0.5000)
Ru (0.7500, 0.2500, 0.5000)

## Properties
DFT total energy (eV/atom): -4.86
Crystal system: tetragonal

=====

Record 18
Entry from the Alexandria database: a relaxed TiCr2Co crystal (GGA-PBEsol).

a = 4.0612 Å, b = 4.0612 Å, c = 4.0612 Å
α = 60.00°, β = 60.00°, γ = 60.00°
Fractional coordinates of all 4 atoms:
Ti (0.0000, 0.0000, 0.0000)
Cr (0.2500, 0.2500, 0.2500)
Cr (0.7500, 0.7500, 0.7500)
Co (0.5000, 0.5000, 0.5000)

## Properties
DFT total energy (eV/atom): -8.97
Crystal system: cubic

=====

Record 19
Entry from the Alexandria database: a relaxed KSrIn2 crystal (GGA-PBEsol).

a = 5.7022 Å, b = 5.7022 Å, c = 5.7022 Å
α = 60.00°, β = 60.00°, γ = 60.00°
Fractional coordinates of all 4 atoms:
K (0.0000, 0.0000, 0.0000)
Sr (0.5000, 0.5000, 0.5000)
In (0.2500, 0.2500, 0.2500)
In (0.7500, 0.7500, 0.7500)

## Properties
DFT total energy (eV/atom): -2.39
Crystal system: cubic
Energy relative to the lowest polymorph listed for this composition (eV per atom): 0.000

=====

Record 20
Entry from the Alexandria database: a relaxed CsSrPO2 crystal (GGA-PBEsol).

a = 4.4768 Å, b = 4.4768 Å, c = 5.3640 Å
α = 90.00°, β = 90.00°, γ = 90.00°
Fractional coordinates of all 5 atoms:
Cs (0.0000, 0.0000, 0.0000)
Sr (0.5000, 0.5000, 0.5000)
P (0.0000, 0.0000, 0.5000)
O (0.0000, 0.5000, 0.0000)
O (0.5000, 0.0000, 0.0000)

## Properties
DFT total energy (eV/atom): -3.79
Uncorrected formation energy (eV/atom): 0.028
Crystal system: tetragonal